Entry from the Alexandria database: Pa2CrSi4Pt3 after structural relaxation (PBE).

theoretical density = 11.795 g/cm3
space group = P-4m2 (115)

a = 4.149 Å, b = 4.149 Å, c = 9.909 Å
α = 90.00°, β = 90.00°, γ = 90.00°
Site moments in Bohr magnetons follow the coordinates.
Fractional positions:
Cr  0.500  0.500  0.500  1.15
Si  0.500  0.500  0.000  0.01
Si  0.500  0.000  0.633  -0.02
Si  0.000  0.000  0.000  0.00
Si  0.000  0.500  0.367  -0.02
Pt  0.500  0.000  0.875  0.00
Pt  0.000  0.500  0.125  0.00
Pt  0.000  0.000  0.500  -0.02
Pa  0.500  0.000  0.259  -0.07
Pa  0.000  0.500  0.741  -0.07

=====

Entry from the Alexandria database: PuPaCr4 after structural relaxation (PBE).

theoretical density = 12.130 g/cm3
DFT formation energy = 0.2070 eV per atom
space group = F-43m (216)

a = 5.095 Å, b = 5.095 Å, c = 5.095 Å
α = 60.00°, β = 60.00°, γ = 60.00°
Site moments in Bohr magnetons follow the coordinates.
Fractional positions:
Cr  0.625  0.625  0.125  -0.26
Cr  0.625  0.125  0.625  -0.26
Cr  0.125  0.625  0.625  -0.26
Cr  0.625  0.625  0.625  -0.26
Pu  0.000  0.000  0.000  4.60
Pa  0.250  0.250  0.250  0.12

=====

Entry from the Alexandria database: PuPaCr after structural relaxation (PBE).

theoretical density = 14.701 g/cm3
DFT formation energy = 0.1522 eV per atom
space group = I4mm (107)

a = 3.553 Å, b = 3.553 Å, c = 5.344 Å
α = 109.42°, β = 109.42°, γ = 90.00°
Site moments in Bohr magnetons follow the coordinates.
Fractional positions:
Pa  0.670  0.670  0.340  0.42
Pu  0.996  0.996  0.992  4.88
Cr  0.334  0.334  0.667  -2.29

=====

Entry from the Alexandria database: Pu2PaCr after structural relaxation (PBE).

theoretical density = 15.610 g/cm3
DFT formation energy = 0.2133 eV per atom
space group = P4/mmm (123)

a = 3.410 Å, b = 3.410 Å, c = 7.052 Å
α = 90.00°, β = 90.00°, γ = 90.00°
Site moments in Bohr magnetons follow the coordinates.
Fractional positions:
Cr  0.500  0.500  0.000  -2.11
Pu  0.000  0.000  0.221  4.78
Pu  0.000  0.000  0.779  4.78
Pa  0.500  0.500  0.500  0.18

=====

Entry from the Alexandria database: PuPaCrRh after structural relaxation (PBE).

theoretical density = 14.679 g/cm3
DFT formation energy = -0.0526 eV per atom
space group = F-43m (216)

a = 4.654 Å, b = 4.654 Å, c = 4.654 Å
α = 60.00°, β = 60.00°, γ = 60.00°
Site moments in Bohr magnetons follow the coordinates.
Fractional positions:
Cr  0.500  0.500  0.500  1.92
Pa  0.750  0.750  0.750  0.50
Rh  0.250  0.250  0.250  0.10
Pu  0.000  0.000  0.000  4.41

=====

Entry from the Alexandria database: PuPaCrSe6 after structural relaxation (PBE).

theoretical density = 6.877 g/cm3
space group = P312 (149)

a = 6.269 Å, b = 6.672 Å, c = 6.672 Å
α = 120.00°, β = 90.00°, γ = 90.00°
Site moments in Bohr magnetons follow the coordinates.
Fractional positions:
Pu  0.500  0.667  0.333  4.78
Se  0.744  0.303  0.992  -0.12
Se  0.744  0.689  0.697  -0.12
Se  0.744  0.008  0.311  -0.12
Se  0.256  0.689  0.992  -0.12
Se  0.256  0.303  0.311  -0.12
Se  0.256  0.008  0.697  -0.12
Cr  0.500  0.000  0.000  2.78
Pa  0.000  0.333  0.667  0.12

=====

Entry from the Alexandria database: PuPaZnCr after structural relaxation (PBE).

theoretical density = 13.244 g/cm3
DFT formation energy = 0.0374 eV per atom
space group = F-43m (216)

a = 4.718 Å, b = 4.718 Å, c = 4.718 Å
α = 60.00°, β = 60.00°, γ = 60.00°
Site moments in Bohr magnetons follow the coordinates.
Fractional positions:
Pa  0.000  0.000  0.000  0.64
Zn  0.500  0.500  0.500  0.01
Pu  0.250  0.250  0.250  5.09
Cr  0.750  0.750  0.750  -2.55

=====

Entry from the Alexandria database: Rb3Pa3CrS8 after structural relaxation (PBE).

theoretical density = 4.834 g/cm3
space group = C2/m (12)

a = 8.068 Å, b = 7.793 Å, c = 9.036 Å
α = 115.55°, β = 90.30°, γ = 118.88°
Site moments in Bohr magnetons follow the coordinates.
Fractional positions:
S  0.216  0.429  0.676  -0.05
S  0.784  0.571  0.324  -0.05
S  0.216  0.962  0.676  -0.05
S  0.264  0.534  0.305  -0.04
S  0.736  0.466  0.695  -0.04
S  0.784  0.038  0.324  -0.05
S  0.704  0.954  0.704  -0.02
S  0.296  0.046  0.296  -0.02
Rb  0.500  0.500  0.000  0.00
Rb  0.000  0.500  0.000  0.00
Rb  0.000  0.000  0.000  0.00
Pa  0.000  0.500  0.500  1.15
Pa  0.500  0.500  0.500  1.15
Pa  0.500  0.000  0.500  1.15
Cr  0.000  0.000  0.500  3.63

=====

no.,VASP energy (Ry/atom)
1,-0.56548
2,-0.74821
3,-0.80835
4,-0.86232
5,-0.75360
6,-0.51112
7,-0.63531
8,-0.46201